No. 1
LaCe2ThBi4: optimized geometry, PBE.

Cell lengths 4.6158, 7.9936, 8.0486 Å; angles 70.70, 90.00, 90.00 degrees
Closest atoms and distances in Å follow each position.
Fractional coordinates of all 8 atoms:
La  0.5000  0.5000  0.0000  6 Bi 3.30
Ce  0.0000  0.0000  0.0000  6 Bi 3.27
Ce  0.5000  0.0000  0.5000  6 Bi 3.24-3.25
Th  0.0000  0.5000  0.5000  6 Bi 3.27
Bi  0.0000  0.7537  0.7459  3 Ce 3.25-3.27, 1 Th 3.27, 2 La 3.30
Bi  0.0000  0.2463  0.2541  3 Ce 3.25-3.27, 1 Th 3.27, 2 La 3.30
Bi  0.5000  0.7518  0.2522  3 Ce 3.24-3.27, 2 Th 3.27, 1 La 3.30
Bi  0.5000  0.2482  0.7478  3 Ce 3.24-3.27, 2 Th 3.27, 1 La 3.30

Size of the total moment (μB/cell): 0.055
Energy relative to the elements (meV per atom): -812
DFT total energy (eV/cell): -46.2

=====

No. 2
CaTl2Pt: optimized geometry, PBE.

Cell lengths 6.4020, 6.4020, 4.0219 Å; angles 71.75, 71.75, 122.73 degrees
Closest atoms and distances in Å follow each position.
Fractional coordinates of all 4 atoms:
Tl  0.0000  0.0000  0.0000  4 Tl 3.07-3.08, 2 Ca 3.20, 2 Pt 3.20
Tl  0.5000  0.5000  0.0000  4 Tl 3.07-3.08, 2 Pt 3.20, 2 Ca 3.20
Ca  0.5000  0.0000  0.5000  4 Pt 3.07-3.08, 4 Tl 3.20
Pt  0.0000  0.5000  0.5000  4 Ca 3.07-3.08, 4 Tl 3.20

Size of the total moment (μB/cell): 0.000
Energy relative to the elements (meV per atom): -174
DFT total energy (eV/cell): -13.5

=====

No. 3
PrSm2Ho7: optimized geometry, PBE.

Cell lengths 6.1624, 7.9802, 11.2752 Å; angles 135.13, 123.15, 58.93 degrees
Closest atoms and distances in Å follow each position.
Fractional coordinates of all 10 atoms:
Pr  0.0000  0.0000  0.0000  10 Ho 3.56-3.58, 2 Sm 3.57
Sm  0.4994  0.9002  0.5998  10 Ho 3.55-3.57, 1 Sm 3.57, 1 Pr 3.57
Sm  0.5006  0.0998  0.4002  10 Ho 3.55-3.57, 1 Sm 3.57, 1 Pr 3.57
Ho  0.0000  0.6008  0.4001  7 Ho 3.55-3.58, 4 Sm 3.56-3.57, 1 Pr 3.56
Ho  0.0000  0.3992  0.5999  7 Ho 3.55-3.58, 4 Sm 3.56-3.57, 1 Pr 3.56
Ho  0.5002  0.6995  0.8000  8 Ho 3.55-3.57, 2 Pr 3.56, 2 Sm 3.56-3.57
Ho  0.4998  0.3005  0.2000  8 Ho 3.55-3.57, 2 Pr 3.56, 2 Sm 3.56-3.57
Ho  0.9996  0.7993  0.2002  3 Sm 3.55-3.57, 8 Ho 3.55-3.57, 1 Pr 3.58
Ho  0.0004  0.2007  0.7998  3 Sm 3.55-3.57, 8 Ho 3.55-3.57, 1 Pr 3.58
Ho  0.5000  0.5000  0.0000  8 Ho 3.55-3.57, 2 Sm 3.56, 2 Pr 3.57

Size of the total moment (μB/cell): 0.000
Energy relative to the elements (meV per atom): 18
DFT total energy (eV/cell): -46.1

=====

No. 4
BaLiTl2Ir: optimized geometry, PBE.

Cell lengths 5.3079, 5.3079, 5.0644 Å; angles 90.00, 90.00, 90.00 degrees
Closest atoms and distances in Å follow each position.
Fractional coordinates of all 5 atoms:
Tl  0.0000  0.5000  0.0000  2 Ir 2.65
Tl  0.5000  0.0000  0.0000  2 Ir 2.65
Ir  0.0000  0.0000  0.0000  2 Li 2.53, 4 Tl 2.65
Ba  0.5000  0.5000  0.5000  8 Tl 3.67, 4 Li 3.75
Li  0.0000  0.0000  0.5000  2 Ir 2.53

Size of the total moment (μB/cell): 0.000
Energy relative to the elements (meV per atom): -119
DFT total energy (eV/cell): -18.0

=====

No. 5
RhIN2O: optimized geometry, PBE.

Cell lengths 3.6799, 3.6799, 6.7456 Å; angles 90.00, 90.00, 90.00 degrees
Closest atoms and distances in Å follow each position.
Fractional coordinates of all 5 atoms:
I  0.0000  0.0000  0.5000  4 O 2.60
Rh  0.0000  0.0000  0.0000  4 N 1.84
O  0.5000  0.5000  0.5000  4 I 2.60
N  0.0000  0.5000  0.0000  2 Rh 1.84
N  0.5000  0.0000  0.0000  2 Rh 1.84

ΔE_f (raw) (eV/atom): 1.25
Size of the total moment (μB/cell): 0.310
DFT total energy (eV/cell): -24.3

=====

No. 6
Ti4GaSn2: optimized geometry, PBE.

Cell lengths 7.0060, 7.0060, 7.0063 Å; angles 110.04, 110.03, 108.35 degrees
Closest atoms and distances in Å follow each position.
Fractional coordinates of all 14 atoms:
Ti  0.8884  0.2771  0.2396  2 Ga 2.61-2.85, 4 Sn 2.77-2.88, 1 Ti 2.85
Ti  0.2125  0.4729  0.1113  2 Ga 2.61-2.85, 4 Sn 2.77-2.88, 1 Ti 2.85
Ti  0.0375  0.6488  0.7605  2 Ga 2.61-2.85, 4 Sn 2.77-2.88, 1 Ti 2.85
Ti  0.7229  0.9624  0.6112  2 Ga 2.61-2.85, 4 Sn 2.77-2.88, 1 Ti 2.85
Ti  0.3512  0.1116  0.3887  2 Ga 2.61-2.85, 4 Sn 2.77-2.88, 1 Ti 2.85
Ti  0.3615  0.1012  0.8888  2 Ga 2.61-2.85, 4 Sn 2.77-2.88, 1 Ti 2.85
Ti  0.5273  0.6384  0.7397  2 Ga 2.61-2.85, 4 Sn 2.77-2.88, 1 Ti 2.85
Ti  0.8988  0.7875  0.2603  2 Ga 2.61-2.85, 4 Sn 2.77-2.88, 1 Ti 2.85
Ga  0.2500  0.7500  0.5001  8 Ti 2.61-2.85
Ga  0.0001  0.0002  0.0000  8 Ti 2.61-2.85
Sn  0.7385  0.3748  0.8635  8 Ti 2.77-2.88
Sn  0.5114  0.8750  0.1364  8 Ti 2.77-2.88
Sn  0.6251  0.4886  0.3636  8 Ti 2.77-2.88
Sn  0.1250  0.2615  0.6364  8 Ti 2.77-2.88

Size of the total moment (μB/cell): 0.012
Energy relative to the elements (meV per atom): -287
DFT total energy (eV/cell): -89.2

=====

No. 7
Ca3VBi: optimized geometry, PBE.

Cell lengths 5.9621, 5.9621, 5.9621 Å; angles 90.00, 90.00, 90.00 degrees
Closest atoms and distances in Å follow each position.
Fractional coordinates of all 5 atoms:
Ca  0.0000  0.5000  0.0000  2 Bi 2.98
Ca  0.0000  0.0000  0.5000  2 Bi 2.98
Ca  0.5000  0.0000  0.0000  2 Bi 2.98
Bi  0.0000  0.0000  0.0000  6 Ca 2.98
V  0.5000  0.5000  0.5000  12 Ca 4.22

Size of the total moment (μB/cell): 5.581
Energy relative to the elements (meV per atom): 425
DFT total energy (eV/cell): -16.9

=====

No. 8
VIr3: optimized geometry, PBE.

Cell lengths 2.7573, 4.3525, 4.7261 Å; angles 90.00, 90.00, 90.00 degrees
Closest atoms and distances in Å follow each position.
Fractional coordinates of all 4 atoms:
Ir  0.0000  0.0000  0.0003  2 V 2.67, 10 Ir 2.68-2.76
Ir  0.5000  0.0000  0.4988  4 V 2.70, 8 Ir 2.71-2.76
Ir  0.5000  0.5000  0.8410  4 V 2.68-2.80, 8 Ir 2.68-2.76
V  0.0000  0.5000  0.3265  10 Ir 2.67-2.80, 2 V 2.76

Size of the total moment (μB/cell): 0.000
Energy relative to the elements (meV per atom): -387
DFT total energy (eV/cell): -37.3